Compound: Th2ZnPd5
Source: Alexandria via LeMat-Bulk
Functional: GGA-PBE
Structure: optimized geometry

a b c (Å): 6.0043 6.0043 6.0043
angles (deg): 94.20 117.61 117.61
Sites, in units of the cell vectors:
Th 0.5000 0.2570 0.7570
Th 0.5000 0.7570 0.2570
Zn 0.0000 0.9103 0.9103
Pd 0.4461 0.7368 0.7368
Pd 0.0000 0.7368 0.2906
Pd 0.0000 0.2906 0.7368
Pd 0.5539 0.2906 0.2906
Pd 0.0000 0.2430 0.2430

Properties
D(E_F) = 3.27 states/eV/f.u.
DFT formation energy = -0.691 eV/atom
Magnetization = 0.00 μB per cell